Version one
First-principles (PBE) data for a geometry-optimized Ce3SmZn8 structure, as listed in the Alexandria database.

Geometry as POSCAR:
```
Ce3SmZn8
1.0
5.645 0.000 0.000
-2.823 4.889 0.000
0.000 0.000 8.544
Ce Sm Zn
3 1 8
Direct
0.000 0.000 0.000
0.000 0.000 0.337
0.333 0.667 0.862
0.333 0.667 0.490
0.327 0.163 0.671
0.500 0.001 0.173
0.500 0.500 0.173
0.667 0.333 0.423
0.667 0.333 0.919
0.837 0.163 0.671
0.837 0.673 0.671
0.999 0.500 0.173
```

Crystal system   trigonal
SG   P3m1 (156)
ρ   7.70 g/cm3
Magnetization   1.8 μB/f.u.

Version two
First-principles (PBE) data for a geometry-optimized Ce3SmZn8 structure, as listed in the Alexandria database.

Geometry as POSCAR:
```
Ce3SmZn8
1.0
2.761 1.594 8.966
-2.761 1.594 8.966
0.000 -3.188 8.966
Ce Sm Zn
3 1 8
Direct
0.000 0.000 0.000
0.121 0.121 0.121
0.626 0.626 0.626
0.500 0.500 0.500
0.062 0.062 0.561
0.062 0.561 0.062
0.065 0.561 0.561
0.312 0.312 0.312
0.561 0.062 0.062
0.561 0.065 0.561
0.561 0.561 0.065
0.812 0.812 0.812
```

Crystal system   trigonal
SG   R3m (160)
ρ   7.67 g/cm3
Magnetization   1.8 μB/f.u.

Question: of the structures shown, which is the least stable? Reply: version one.